a) Computed, not measured: an optimized crystal structure of Nd12Dy5Ho2 at the PBE level of DFT.

Lattice parameters (Å, degrees): 11.7613 10.7470 6.2463 100.46 90.00 123.17
Sites, in units of the cell vectors:
Nd1 0.1197 0.2394 0.0022
Nd2 0.0608 0.6066 0.8015
Nd3 0.5458 0.6066 0.8015
Nd4 0.1455 0.7930 0.3834
Nd5 0.6475 0.7930 0.3834
Nd6 0.4442 0.8885 0.7266
Nd7 0.5558 0.1115 0.2734
Nd8 0.8545 0.2070 0.6166
Nd9 0.3525 0.2070 0.6166
Nd10 0.9392 0.3934 0.1985
Nd11 0.4542 0.3934 0.1985
Nd12 0.8803 0.7606 0.9978
Dy1 0.2158 0.4315 0.5543
Dy2 0.3224 0.6448 0.1410
Dy3 0.0000 0.0000 0.5000
Dy4 0.6776 0.3552 0.8590
Dy5 0.7842 0.5685 0.4457
Ho1 0.7689 0.0000 0.0000
Ho2 0.2311 0.0000 0.0000

Computed properties:
Magnetization: 0.0000 μB/atom
Volume: 645.11 Å³/f.u.


b) Computed, not measured: an optimized crystal structure of Nd12Dy5Ho2 at the PBE level of DFT.

Lattice parameters (Å, degrees): 10.6236 9.3064 8.0772 87.04 90.00 124.80
Sites, in units of the cell vectors:
Nd1 0.8677 0.7353 0.1063
Nd2 0.0401 0.6286 0.7924
Nd3 0.5885 0.6286 0.7924
Nd4 0.1666 0.7871 0.3859
Nd5 0.6205 0.7871 0.3859
Nd6 0.4460 0.8919 0.7120
Nd7 0.5540 0.1081 0.2880
Nd8 0.8334 0.2129 0.6141
Nd9 0.3795 0.2129 0.6141
Nd10 0.9599 0.3714 0.2076
Nd11 0.4115 0.3714 0.2076
Nd12 0.1323 0.2647 0.8937
Dy1 0.2419 0.4839 0.5137
Dy2 0.3441 0.6882 0.0938
Dy3 0.0000 0.0000 0.5000
Dy4 0.6559 0.3118 0.9062
Dy5 0.7581 0.5161 0.4863
Ho1 0.7319 0.0000 0.0000
Ho2 0.2681 0.0000 0.0000

Computed properties:
Magnetization: 0.0000 μB/atom
Volume: 654.41 Å³/f.u.


It is b) that is the least stable of them.


a) Computed, not measured: an optimized crystal structure of Nd7Dy2Ho3 at the PBE level of DFT.

Lattice parameters (Å, degrees): 3.5662 6.4708 18.1271 75.08 90.00 90.00
Sites, in units of the cell vectors:
Nd1 0.5000 0.2365 0.5059
Nd2 0.5000 0.7635 0.4941
Nd3 0.0000 0.5567 0.1671
Nd4 0.0000 0.0000 0.0000
Nd5 0.0000 0.4433 0.8329
Nd6 0.5000 0.9467 0.8281
Nd7 0.5000 0.0533 0.1719
Dy1 0.5000 0.6111 0.3299
Dy2 0.5000 0.3889 0.6701
Ho1 0.5000 0.5000 0.0000
Ho2 0.0000 0.1154 0.3406
Ho3 0.0000 0.8846 0.6594

Computed properties:
Magnetization: 0.0000 μB/atom
Volume: 404.21 Å³/f.u.


b) Computed, not measured: an optimized crystal structure of Nd7Dy2Ho3 at the PBE level of DFT.

Lattice parameters (Å, degrees): 4.6825 5.5313 16.4564 99.68 90.00 90.00
Sites, in units of the cell vectors:
Nd1 0.0000 0.4169 0.8338
Nd2 0.0000 0.7356 0.4712
Nd3 0.0000 0.0000 0.0000
Nd4 0.0000 0.5831 0.1662
Nd5 0.5000 0.0793 0.1587
Nd6 0.5000 0.9207 0.8413
Nd7 0.0000 0.2644 0.5288
Dy1 0.0000 0.8405 0.6809
Dy2 0.0000 0.1595 0.3191
Ho1 0.5000 0.5000 0.0000
Ho2 0.5000 0.6581 0.3162
Ho3 0.5000 0.3419 0.6838

Computed properties:
Magnetization: 0.0000 μB/atom
Volume: 420.17 Å³/f.u.


It is b) that is the least stable of them.


a) Computed, not measured: an optimized crystal structure of Nd4Dy4Ho at the PBE level of DFT.

Lattice parameters (Å, degrees): 5.6277 8.9258 8.9954 44.97 71.74 71.58
Sites, in units of the cell vectors:
Nd1 0.2814 0.1514 0.2861
Nd2 0.7186 0.8486 0.7139
Nd3 0.8676 0.3073 0.9584
Nd4 0.1324 0.6927 0.0416
Dy1 0.6236 0.4270 0.3251
Dy2 0.9280 0.7697 0.3748
Dy3 0.3764 0.5730 0.6749
Dy4 0.0720 0.2303 0.6252
Ho1 0.5000 0.0000 0.0000

Computed properties:
Magnetization: 0.0000 μB/atom
Volume: 300.23 Å³/f.u.


b) Computed, not measured: an optimized crystal structure of Nd4Dy4Ho at the PBE level of DFT.

Lattice parameters (Å, degrees): 5.0776 8.0581 8.0581 84.30 71.64 71.64
Sites, in units of the cell vectors:
Nd1 0.6665 0.6670 0.0000
Nd2 0.3335 0.3330 0.0000
Nd3 0.6665 0.0000 0.6670
Nd4 0.3335 0.0000 0.3330
Dy1 0.6653 0.3347 0.3348
Dy2 0.3347 0.6653 0.6652
Dy3 0.0000 0.6652 0.3347
Dy4 0.0000 0.3348 0.6653
Ho1 0.0000 0.0000 0.0000

Computed properties:
Magnetization: 0.0000 μB/atom
Volume: 296.98 Å³/f.u.


It is a) that is the least stable of them.


a) Computed, not measured: an optimized crystal structure of Nd4Dy3Ho4 at the PBE level of DFT.

Lattice parameters (Å, degrees): 3.6001 9.4203 12.0240 113.06 98.61 90.00
Sites, in units of the cell vectors:
Nd1 0.6448 0.4663 0.2895
Nd2 0.3552 0.1767 0.7105
Nd3 0.3552 0.5337 0.7105
Nd4 0.6448 0.8233 0.2895
Dy1 0.8929 0.8929 0.7858
Dy2 0.1071 0.1071 0.2142
Dy3 0.0000 0.5000 0.0000
Ho1 0.7396 0.2396 0.4792
Ho2 0.2604 0.7604 0.5208
Ho3 0.5000 0.8174 0.0000
Ho4 0.5000 0.1826 0.0000

Computed properties:
Magnetization: 0.0000 μB/atom
Volume: 370.19 Å³/f.u.


b) Computed, not measured: an optimized crystal structure of Nd4Dy3Ho4 at the PBE level of DFT.

Lattice parameters (Å, degrees): 5.6914 6.6681 10.6541 90.00 90.00 115.26
Sites, in units of the cell vectors:
Nd1 0.7554 0.5108 0.7923
Nd2 0.7554 0.5108 0.2077
Nd3 0.8823 0.7646 0.5000
Nd4 0.9607 0.9213 0.0000
Dy1 0.4104 0.8208 0.2882
Dy2 0.4104 0.8208 0.7118
Dy3 0.2543 0.5085 0.0000
Ho1 0.6101 0.2201 0.5000
Ho2 0.5523 0.1046 0.0000
Ho3 0.1037 0.2073 0.6974
Ho4 0.1037 0.2073 0.3026

Computed properties:
Magnetization: 0.0000 μB/atom
Volume: 365.66 Å³/f.u.


It is b) that is the least stable of them.


a) Computed, not measured: an optimized crystal structure of Nd3Dy2Ho6 at the PBE level of DFT.

Lattice parameters (Å, degrees): 4.7520 4.7520 16.9448 98.06 98.06 90.00
Sites, in units of the cell vectors:
Nd1 0.0000 0.0000 0.0000
Nd2 0.7964 0.7964 0.5928
Nd3 0.2036 0.2036 0.4072
Dy1 0.4538 0.4538 0.9076
Dy2 0.5462 0.5462 0.0924
Ho1 0.1204 0.6204 0.2408
Ho2 0.6204 0.1204 0.2408
Ho3 0.8796 0.3796 0.7592
Ho4 0.3796 0.8796 0.7592
Ho5 0.6926 0.6926 0.3852
Ho6 0.3074 0.3074 0.6148

Computed properties:
Magnetization: 0.0000 μB/atom
Volume: 375.04 Å³/f.u.


b) Computed, not measured: an optimized crystal structure of Nd3Dy2Ho6 at the PBE level of DFT.

Lattice parameters (Å, degrees): 5.7029 6.6880 11.9011 78.22 61.40 64.76
Sites, in units of the cell vectors:
Nd1 0.0000 0.0000 0.0000
Nd2 0.2938 0.4124 0.0000
Nd3 0.7062 0.5876 0.0000
Dy1 0.1325 0.7351 0.5000
Dy2 0.8675 0.2649 0.5000
Ho1 0.4540 0.6991 0.6969
Ho2 0.7124 0.0000 0.7880
Ho3 0.1531 0.3009 0.6969
Ho4 0.2876 0.0000 0.2120
Ho5 0.5460 0.3009 0.3031
Ho6 0.8469 0.6991 0.3031

Computed properties:
Magnetization: 0.0000 μB/atom
Volume: 360.50 Å³/f.u.


It is a) that is the least stable of them.


a) Computed, not measured: an optimized crystal structure of Nd7Dy12Ho at the PBE level of DFT.

Lattice parameters (Å, degrees): 8.8023 8.8023 8.8023 86.01 86.01 86.01
Sites, in units of the cell vectors:
Nd1 0.8451 0.6012 0.9195
Nd2 0.3988 0.0805 0.1549
Nd3 0.0805 0.1549 0.3988
Nd4 0.5000 0.5000 0.5000
Nd5 0.9195 0.8451 0.6012
Nd6 0.6012 0.9195 0.8451
Nd7 0.1549 0.3988 0.0805
Dy1 0.8544 0.2508 0.7273
Dy2 0.7492 0.2727 0.1456
Dy3 0.6162 0.1349 0.4967
Dy4 0.8651 0.5033 0.3838
Dy5 0.2727 0.1456 0.7492
Dy6 0.5033 0.3838 0.8651
Dy7 0.4967 0.6162 0.1349
Dy8 0.7273 0.8544 0.2508
Dy9 0.1349 0.4967 0.6162
Dy10 0.3838 0.8651 0.5033
Dy11 0.2508 0.7273 0.8544
Dy12 0.1456 0.7492 0.2727
Ho1 0.0000 0.0000 0.0000

Computed properties:
Magnetization: 0.0000 μB/atom
Volume: 677.25 Å³/f.u.


b) Computed, not measured: an optimized crystal structure of Nd7Dy12Ho at the PBE level of DFT.

Lattice parameters (Å, degrees): 9.8135 9.8135 9.8135 109.47 109.47 109.47
Sites, in units of the cell vectors:
Nd1 0.5000 0.5000 0.0000
Nd2 0.0000 0.5000 0.5000
Nd3 0.5000 0.0000 0.5000
Nd4 0.5000 0.5000 0.5000
Nd5 0.0000 0.0000 0.5000
Nd6 0.5000 0.0000 0.0000
Nd7 0.0000 0.5000 0.0000
Dy1 0.5082 0.7544 0.7538
Dy2 0.0006 0.7544 0.2462
Dy3 0.4918 0.2456 0.2462
Dy4 0.9994 0.2456 0.7538
Dy5 0.7538 0.9994 0.2456
Dy6 0.7538 0.5082 0.7544
Dy7 0.2462 0.0006 0.7544
Dy8 0.2462 0.4918 0.2456
Dy9 0.7544 0.7538 0.5082
Dy10 0.2456 0.2462 0.4918
Dy11 0.7544 0.2462 0.0006
Dy12 0.2456 0.7538 0.9994
Ho1 0.0000 0.0000 0.0000

Computed properties:
Magnetization: 0.0000 μB/atom
Volume: 727.54 Å³/f.u.


It is b) that is the least stable of them.


a) Computed, not measured: an optimized crystal structure of NdDy5Ho3 at the PBE level of DFT.

Lattice parameters (Å, degrees): 9.3038 9.3038 12.8162 51.34 51.34 50.73
Sites, in units of the cell vectors:
Nd1 0.8946 0.8946 0.8690
Nd2 0.1054 0.1054 0.1310
Dy1 0.9219 0.5095 0.2202
Dy2 0.3204 0.6796 0.0000
Dy3 0.6294 0.6294 0.0713
Dy4 0.4426 0.4426 0.4334
Dy5 0.5574 0.5574 0.5666
Dy6 0.3706 0.3706 0.9287
Dy7 0.5095 0.9219 0.2202
Dy8 0.6796 0.3204 0.0000
Dy9 0.0781 0.4905 0.7798
Dy10 0.4905 0.0781 0.7798
Ho1 0.6958 0.6958 0.6841
Ho2 0.8322 0.8322 0.3398
Ho3 0.0000 0.0000 0.0000
Ho4 0.0000 0.0000 0.5000
Ho5 0.3042 0.3042 0.3159
Ho6 0.1678 0.1678 0.6602

Computed properties:
Magnetization: 0.0005 μB/atom
Volume: 310.28 Å³/f.u.


b) Computed, not measured: an optimized crystal structure of NdDy5Ho3 at the PBE level of DFT.

Lattice parameters (Å, degrees): 6.6824 12.1282 11.3327 136.17 90.00 105.99
Sites, in units of the cell vectors:
Nd1 0.7714 0.0000 0.7500
Nd2 0.2286 0.0000 0.2500
Dy1 0.3184 0.0000 0.7500
Dy2 0.7061 0.6487 0.0217
Dy3 0.6038 0.2166 0.1708
Dy4 0.2939 0.3513 0.9783
Dy5 0.3871 0.7834 0.3292
Dy6 0.6816 0.0000 0.2500
Dy7 0.9425 0.6487 0.5217
Dy8 0.0575 0.3513 0.4783
Dy9 0.6129 0.2166 0.6708
Dy10 0.3962 0.7834 0.8292
Ho1 0.0000 0.0000 0.0000
Ho2 0.3820 0.5233 0.3798
Ho3 0.0000 0.0000 0.5000
Ho4 0.6180 0.4767 0.6202
Ho5 0.1412 0.5233 0.8798
Ho6 0.8588 0.4767 0.1202

Computed properties:
Magnetization: 0.0000 μB/atom
Volume: 291.78 Å³/f.u.


It is a) that is the least stable of them.


a) Computed, not measured: an optimized crystal structure of Nd7DyHo4 at the PBE level of DFT.

Lattice parameters (Å, degrees): 6.0057 9.7820 8.6328 61.20 69.64 72.12
Sites, in units of the cell vectors:
Nd1 0.7890 0.8824 0.5396
Nd2 0.2110 0.1176 0.4604
Nd3 0.0845 0.5539 0.2772
Nd4 0.9155 0.4461 0.7228
Nd5 0.2109 0.7652 0.8131
Nd6 0.5000 0.0000 0.0000
Nd7 0.7891 0.2348 0.1869
Dy1 0.0000 0.0000 0.0000
Ho1 0.5711 0.3024 0.5555
Ho2 0.4289 0.6976 0.4445
Ho3 0.6711 0.6144 0.0435
Ho4 0.3289 0.3856 0.9565

Computed properties:
Magnetization: 0.0082 μB/atom
Volume: 410.63 Å³/f.u.


b) Computed, not measured: an optimized crystal structure of Nd7DyHo4 at the PBE level of DFT.

Lattice parameters (Å, degrees): 7.2925 9.6551 8.9947 81.12 89.97 40.96
Sites, in units of the cell vectors:
Nd1 0.7522 0.5005 0.0016
Nd2 0.2478 0.4995 0.9984
Nd3 0.9700 0.2807 0.6649
Nd4 0.0300 0.7193 0.3351
Nd5 0.2210 0.7788 0.6657
Nd6 0.5000 0.0000 0.0000
Nd7 0.7790 0.2212 0.3343
Dy1 0.0000 0.0000 0.0000
Ho1 0.5303 0.7224 0.3325
Ho2 0.4697 0.2776 0.6675
Ho3 0.7193 0.7807 0.6648
Ho4 0.2807 0.2193 0.3352

Computed properties:
Magnetization: 0.0000 μB/atom
Volume: 403.59 Å³/f.u.


It is a) that is the least stable of them.


a) Computed, not measured: an optimized crystal structure of Nd8Dy2Ho at the PBE level of DFT.

Lattice parameters (Å, degrees): 8.6564 9.2901 9.2901 43.06 52.39 52.39
Sites, in units of the cell vectors:
Nd1 0.1960 0.3524 0.8345
Nd2 0.8040 0.1655 0.6476
Nd3 0.2955 0.7406 0.7406
Nd4 0.7045 0.2594 0.2594
Nd5 0.1960 0.8345 0.3524
Nd6 0.8040 0.6476 0.1655
Nd7 0.7760 0.6083 0.6083
Nd8 0.2240 0.3917 0.3917
Dy1 0.5323 0.8554 0.8554
Dy2 0.4677 0.1446 0.1446
Ho1 0.0000 0.0000 0.0000

Computed properties:
Magnetization: 0.0000 μB/atom
Volume: 385.00 Å³/f.u.


b) Computed, not measured: an optimized crystal structure of Nd8Dy2Ho at the PBE level of DFT.

Lattice parameters (Å, degrees): 6.7366 10.3742 10.3742 38.41 59.84 59.84
Sites, in units of the cell vectors:
Nd1 0.2311 0.3483 0.8250
Nd2 0.7689 0.1750 0.6517
Nd3 0.1686 0.7555 0.7555
Nd4 0.8314 0.2445 0.2445
Nd5 0.2311 0.8250 0.3483
Nd6 0.7689 0.6517 0.1750
Nd7 0.7265 0.5942 0.5942
Nd8 0.2735 0.4058 0.4058
Dy1 0.5841 0.8041 0.8041
Dy2 0.4159 0.1959 0.1959
Ho1 0.0000 0.0000 0.0000

Computed properties:
Magnetization: 0.0000 μB/atom
Volume: 381.46 Å³/f.u.


It is a) that is the least stable of them.